The following is a DFT calculation (PBE-GGA) of a geometry-optimized CoSbP2 structure.

Calculated values
Total magnetic moment: 0.00 μB per formula unit
Uncorrected formation energy: 103 meV/atom

Cell and atoms, written as CIF:
```
data_CoSbP2
_symmetry_space_group_name_H-M 'P 1 m 1'
_symmetry_Int_Tables_number 6
_symmetry_space_group_name_Hall 'P -2y'
_cell_length_a 4.1207
_cell_length_b 3.8907
_cell_length_c 4.8091
_cell_angle_alpha 90.00
_cell_angle_beta 97.63
_cell_angle_gamma 90.00
loop_
_atom_site_label
_atom_site_type_symbol
_atom_site_fract_x
_atom_site_fract_y
_atom_site_fract_z
_atom_site_occupancy
Co1 Co 0.0000 0.0000 0.0000 1
Sb1 Sb 0.7955 0.5000 0.3098 1
P1 P 0.2558 0.5000 0.9673 1
P2 P 0.5025 0.0000 0.7950 1
```

=====

The following is a DFT calculation (PBE-GGA) of a geometry-optimized RbSrHgS2 structure.

Calculated values
Total magnetic moment: 0.00 μB per formula unit
Uncorrected formation energy: -941 meV/atom

Cell and atoms, written as CIF:
```
data_RbSrHgS2
_symmetry_space_group_name_H-M 'P 1 2/c 1'
_symmetry_Int_Tables_number 13
_symmetry_space_group_name_Hall '-P 2yc'
_cell_length_a 7.7422
_cell_length_b 5.7602
_cell_length_c 8.2356
_cell_angle_alpha 90.00
_cell_angle_beta 100.21
_cell_angle_gamma 90.00
loop_
_atom_site_label
_atom_site_type_symbol
_atom_site_fract_x
_atom_site_fract_y
_atom_site_fract_z
_atom_site_occupancy
Rb1 Rb 0.0000 0.1748 0.2500 1
Sr1 Sr 0.5000 0.4875 0.7500 1
Hg1 Hg 0.5000 0.0000 0.0000 1
S1 S 0.2591 0.3272 0.9645 1
```

=====

What did the second record say?
The following is a DFT calculation (PBE-GGA) of a geometry-optimized RbSrHgS2 structure.

Calculated values
Total magnetic moment: 0.00 μB per formula unit
Uncorrected formation energy: -941 meV/atom

Cell and atoms, written as CIF:
```
data_RbSrHgS2
_symmetry_space_group_name_H-M 'P 1 2/c 1'
_symmetry_Int_Tables_number 13
_symmetry_space_group_name_Hall '-P 2yc'
_cell_length_a 7.7422
_cell_length_b 5.7602
_cell_length_c 8.2356
_cell_angle_alpha 90.00
_cell_angle_beta 100.21
_cell_angle_gamma 90.00
loop_
_atom_site_label
_atom_site_type_symbol
_atom_site_fract_x
_atom_site_fract_y
_atom_site_fract_z
_atom_site_occupancy
Rb1 Rb 0.0000 0.1748 0.2500 1
Sr1 Sr 0.5000 0.4875 0.7500 1
Hg1 Hg 0.5000 0.0000 0.0000 1
S1 S 0.2591 0.3272 0.9645 1
```